1.
Li3BO4 GGA-PBE optimized geometry; calculated total energy = -5.757 eV per atom; uncorrected formation energy = -1.725 eV/atom; V = 76.72 Å³/f.u.; symmetry = I-42m, No. 121; ρ = 2.07 g/cm3
1.0
-0.8796 -0.9378 4.0457
1.4655 -3.9395 -0.5946
3.6038 3.7157 -0.5823
Li B O
3 1 4
direct
0.5000 0.5000 0.0000
0.7500 0.2500 0.5000
0.2500 0.7500 0.5000
0.0000 0.0000 0.0000
0.2975 0.2975 0.2176
0.9201 0.9201 0.2176
0.0799 0.7025 0.7824
0.7025 0.0799 0.7824

***

2.
MnNi5Ge3 GGA-PBE optimized geometry; calculated total energy = -5.788 eV per atom; DFT formation energy = -18 meV/atom; V = 121.30 Å³/f.u.; polymorph energy (0 for the lowest one) = 236.5 meV/atom; symmetry = I4/mcm, No. 140; ρ = 7.75 g/cm3
1.0
-1.0197 4.4716 -3.9113
-4.5192 1.9921 3.4557
7.0411 0.6642 3.5682
Mn Ni Ge
2 10 6
direct
0.7500 0.2500 0.5000
0.2500 0.7500 0.5000
0.0884 0.5884 0.6946
0.6062 0.1062 0.6946
0.1062 0.0884 0.6946
0.5884 0.6062 0.6946
0.9116 0.4116 0.3054
0.3938 0.8938 0.3054
0.8938 0.9116 0.3054
0.4116 0.3938 0.3054
0.5000 0.5000 0.0000
0.0000 0.0000 0.0000
0.6356 0.1356 0.0000
0.3644 0.8644 0.0000
0.8644 0.6356 0.0000
0.1356 0.3644 0.0000
0.2500 0.2500 0.5000
0.7500 0.7500 0.5000

***

3.
Pr2TmTl GGA-PBE optimized geometry; calculated total energy = -4.272 eV per atom; DFT formation energy = -173 meV/atom; V = 124.65 Å³/f.u.; polymorph energy (0 for the lowest one) = 16.4 meV/atom; symmetry = Imma, No. 74; ρ = 8.73 g/cm3
1.0
6.0128 0.0000 3.3096
2.6147 5.9798 2.3664
0.1022 -0.3799 6.9310
Pr Tm Tl
4 2 2
direct
0.2014 0.2986 0.7986
0.2986 0.7014 0.2014
0.7986 0.7014 0.2014
0.7014 0.2986 0.7986
0.7500 0.1837 0.3163
0.2500 0.8163 0.6837
0.2500 0.1966 0.3034
0.7500 0.8034 0.6966

***

4.
Ba2LaP GGA-PBE optimized geometry; calculated total energy = -4.036 eV per atom; DFT formation energy = -490 meV/atom; V = 197.03 Å³/f.u.; symmetry = Cmmm, No. 65; ρ = 3.75 g/cm3
1.0
-3.4740 -0.0635 -2.7816
-5.0918 -0.8045 6.3776
-4.2249 4.7660 5.1677
Ba La P
2 1 1
direct
0.0000 0.8958 0.8959
0.0000 0.6042 0.6041
0.5000 0.2500 0.2500
0.5000 0.7500 0.7500

***

5.
Al4CuRh2 GGA-PBE optimized geometry; calculated total energy = -5.484 eV per atom; DFT formation energy = -660 meV/atom; V = 104.78 Å³/f.u.; symmetry = P4/mmm, No. 123; ρ = 5.98 g/cm3
1.0
4.1926 0.0000 0.0000
0.0000 4.1926 0.0000
0.0000 0.0000 5.9611
Rh Al Cu
2 4 1
direct
0.0000 0.0000 0.0000
0.5000 0.5000 0.5000
0.5000 0.0000 0.2602
0.0000 0.5000 0.7398
0.5000 0.0000 0.7398
0.0000 0.5000 0.2602
0.5000 0.5000 0.0000

***

6.
PrGa2Pd4 GGA-PBE optimized geometry; calculated total energy = -5.250 eV per atom; DFT formation energy = -735 meV/atom; V = 125.38 Å³/f.u.; polymorph energy (0 for the lowest one) = 0.0 meV/atom; symmetry = P4_2/mnm, No. 136; ρ = 9.35 g/cm3
1.0
4.0148 0.0000 0.0000
0.0000 7.9031 0.0000
0.0000 0.0000 7.9031
Pr Ga Pd
2 4 8
direct
0.5000 0.0000 0.0000
0.0000 0.5000 0.5000
0.0000 0.2215 0.7785
0.0000 0.7785 0.2215
0.5000 0.7215 0.7215
0.5000 0.2785 0.2785
0.0000 0.0824 0.3340
0.0000 0.9176 0.6660
0.5000 0.1660 0.5824
0.5000 0.8340 0.4176
0.5000 0.4176 0.8340
0.5000 0.5824 0.1660
0.0000 0.3340 0.0824
0.0000 0.6660 0.9176

***

7.
KBa2La GGA-PBE optimized geometry; calculated total energy = -2.250 eV per atom; DFT formation energy = 218 meV/atom; V = 220.23 Å³/f.u.; polymorph energy (0 for the lowest one) = 64.1 meV/atom; symmetry = Cmm2, No. 35; ρ = 3.41 g/cm3
1.0
-1.7365 1.7216 -3.2660
2.6917 -2.8874 -1.0315
-10.3821 -9.8043 0.3520
Ba K La
2 1 1
direct
0.0000 0.0000 0.9848
0.5000 0.5000 0.2402
0.0000 0.0000 0.5130
0.5000 0.5000 0.7620

***

8.
TePdN2 GGA-PBE optimized geometry; calculated total energy = -5.305 eV per atom; uncorrected formation energy = 0.941 eV/atom; V = 57.54 Å³/f.u.; polymorph energy (0 for the lowest one) = 10.5 meV/atom; symmetry = R-3m, No. 166; ρ = 7.56 g/cm3
1.0
1.4666 6.3039 1.1523
3.5782 4.6430 2.9761
4.1619 5.0854 -0.1874
Te Pd N
1 1 2
direct
0.0000 0.0000 0.0000
0.5000 0.5000 0.5000
0.8849 0.8849 0.8849
0.1151 0.1151 0.1151

***

9.
Mg3Ga2Ag7 GGA-PBE optimized geometry; calculated total energy = -2.640 eV per atom; DFT formation energy = -73 meV/atom; V = 224.30 Å³/f.u.; polymorph energy (0 for the lowest one) = 73.8 meV/atom; symmetry = P2/m, No. 10; ρ = 7.16 g/cm3
1.0
3.1036 0.0000 0.0000
0.0000 4.6699 0.1466
0.0000 -1.7871 15.4197
Mg Ga Ag
3 2 7
direct
0.5000 0.5000 0.0000
0.0000 0.2189 0.3762
0.0000 0.7811 0.6238
0.5000 0.6992 0.2874
0.5000 0.3008 0.7126
0.5000 0.7367 0.4525
0.5000 0.2633 0.5475
0.0000 0.6665 0.1447
0.0000 0.0000 0.0000
0.0000 0.3335 0.8553
0.5000 0.8231 0.8087
0.5000 0.1769 0.1913

***

10.
Na3Ga5Bi2 GGA-PBE optimized geometry; calculated total energy = -2.820 eV per atom; DFT formation energy = -134 meV/atom; V = 263.78 Å³/f.u.; symmetry = Ibam, No. 72; ρ = 5.26 g/cm3
1.0
-4.7531 -1.8330 4.0773
-0.1247 -9.5443 0.7849
3.5197 -1.0714 8.8425
Na Ga Bi
6 10 4
direct
0.2500 0.0000 0.0000
0.7500 0.0000 0.0000
0.3881 0.3794 0.8444
0.6119 0.6206 0.1556
0.8881 0.8444 0.3794
0.1119 0.1556 0.6206
0.2500 0.5000 0.5000
0.7500 0.5000 0.5000
0.5120 0.7380 0.7380
0.9880 0.2620 0.2620
0.4880 0.2620 0.2620
0.0120 0.7380 0.7380
0.1209 0.4933 0.2649
0.8791 0.5067 0.7351
0.6209 0.2649 0.4933
0.3791 0.7351 0.5067
0.1440 0.6984 0.0136
0.8560 0.3016 0.9864
0.6440 0.0136 0.6984
0.3560 0.9864 0.3016

***

11.
Ce3Ga4Ni GGA-PBE optimized geometry; calculated total energy = -4.784 eV per atom; DFT formation energy = -323 meV/atom; V = 190.43 Å³/f.u.; symmetry = Immm, No. 71; ρ = 6.61 g/cm3
1.0
-2.2053 -2.3196 3.4925
-0.5634 -5.2735 -3.8583
6.7833 1.7298 2.2193
Ce Ga Ni
3 4 1
direct
0.1687 0.1687 0.3375
0.8313 0.8313 0.6625
0.0000 0.5000 0.0000
0.3818 0.5902 0.7635
0.6182 0.4098 0.2365
0.6182 0.8267 0.2365
0.3818 0.1733 0.7635
0.5000 0.0000 0.0000

***

12.
Tm4GaPd3 GGA-PBE optimized geometry; calculated total energy = -5.429 eV per atom; DFT formation energy = -868 meV/atom; V = 175.24 Å³/f.u.; symmetry = Pmm2, No. 25; ρ = 10.09 g/cm3
1.0
-2.8152 -1.8149 1.5686
2.0420 -3.8690 -0.8115
4.8798 0.5943 9.4455
Tm Ga Pd
4 1 3
direct
0.5000 0.5000 0.3650
0.0000 0.5000 0.8535
0.0000 0.0000 0.1418
0.5000 0.0000 0.6383
0.5000 0.5000 0.0797
0.0000 0.5000 0.5864
0.0000 0.0000 0.4145
0.5000 0.0000 0.9208